Density functional theory data (PBE) for an optimized crystal structure of CeYZnIn.

## Properties
Calculated formation energy = -31.5 kJ per mole of atoms

Cell and atoms, written as POSCAR:
```
CeYZnIn
1.0
-0.5455 -0.9018 5.1627
2.2834 -4.2112 2.1946
4.1153 0.6192 3.2319
Y Zn Ce In
1 1 1 1
Direct
0.7500 0.7500 0.7500
0.0000 0.0000 0.0000
0.2500 0.2500 0.2500
0.5000 0.5000 0.5000
```



Density functional theory data (PBE) for an optimized crystal structure of CeYZrIn.

## Properties
Calculated formation energy = -3.5 kJ per mole of atoms

Cell and atoms, written as POSCAR:
```
CeYZrIn
1.0
5.2492 0.0000 0.0000
2.6246 4.5460 0.0000
2.6246 1.5153 4.2860
Y Zr Ce In
1 1 1 1
Direct
0.7500 0.7500 0.7500
0.2500 0.2500 0.2500
0.0000 0.0000 0.0000
0.5000 0.5000 0.5000
```



Density functional theory data (PBE) for an optimized crystal structure of CeZn9In2.

## Properties
Calculated formation energy = -9.2 kJ per mole of atoms

Cell and atoms, written as POSCAR:
```
CeZn9In2
1.0
5.2429 0.0000 1.5604
2.3893 4.6669 1.5604
0.1798 0.1099 8.9843
Ce Zn In
1 9 2
Direct
0.0000 0.0000 0.0000
0.6679 0.6679 0.9964
0.3321 0.3321 0.0036
0.5000 0.5000 0.5000
0.4149 0.4149 0.2518
0.9184 0.4149 0.2518
0.4149 0.9184 0.2518
0.5851 0.5851 0.7482
0.5851 0.0816 0.7482
0.0816 0.5851 0.7482
0.8620 0.8620 0.4141
0.1380 0.1380 0.5859
```



Question: Which value of calculated formation energy does entry 1 give?
Answer: -31.5 kJ per mole of atoms